A relaxed Te2IrBr crystal, computed with GGA-PBE.

The calculation puts the uncorrected formation energy at 0.1058 eV/atom. As for the size of the total moment: 0.00 μB/f.u. The value obtained for the polymorph energy (0 for the lowest one) is 370.1 meV per atom. The energy comes out at -4.10 eV per atom.

The structure belongs to space group Cmcm (No. 63); the cell edges are 3.208, 26.107 and 5.182 Å and the angles 90.00°, 90.00° and 90.00°. The distinct sites, in fractional coordinates, are Te at (0.000, 0.040, 0.250), Te at (0.000, 0.159, 0.750), Ir at (0.000, 0.062, 0.750) and Br at (0.000, 0.323, 0.750).